Density functional theory data (GGA+U) for a relaxed CoNiGe2O crystal.

a = 4.347 Å, b = 4.393 Å, c = 4.347 Å
α = 90.00°, β = 90.00°, γ = 90.00°
Last column: magnetic moment on the atom in μB.
Fractional coordinates of all 5 atoms:
Ni (0.000, 0.500, 0.000)  1.73
Ge (0.000, 0.000, 0.500)  0.03
Ge (0.500, 0.000, 0.000)  0.00
Co (0.000, 0.000, 0.000)  0.43
O (0.500, 0.500, 0.500)  0.28

## Properties
* DFT total energy: -17.777 eV per cell
* magnetic moment: 2.55 Bohr magnetons per cell
* density of states at the Fermi level: 2.25 states/eV/f.u.